No. 1
This record from Alexandria describes an optimized crystal structure of BeHg2Br. The functional is PBE-GGA.

Properties
- Uncorrected energy: -5.9 eV for the cell shown
- ΔE to the lowest computed polymorph: 85 meV per atom
- Size of the total moment: 0.0 μB/cell

abc: 3.7519 3.7519 9.9474
angles: 90.00 90.00 127.65
With the nearest neighbours (Å) after each atom.
Positions (direct):
Hg: 0.5000 0.5000 0.3121  2 Be 2.51
Hg: 0.0000 0.0000 0.0366  4 Hg 3.20-3.31
Be: 0.0000 0.0000 0.5012  2 Br 2.22
Br: 0.5000 0.5000 0.6501  2 Be 2.22

=====

No. 2
This record from Alexandria describes an optimized crystal structure of MnAg2Hg. The functional is PBE-GGA.

Properties
- Uncorrected energy: -14.1 eV for the cell shown
- Size of the total moment: 4.1 μB/cell
- E_form: 1.09 eV/f.u.

abc: 5.1508 5.1508 2.9611
angles: 90.00 90.00 110.21
With the nearest neighbours (Å) after each atom.
Positions (direct):
Hg: 0.5000 0.0000 0.5000  2 Mn 2.95, 2 Hg 2.96, 8 Ag 2.97
Ag: 0.5000 0.5000 0.0000  4 Ag 2.95-2.96, 4 Mn 2.97, 4 Hg 2.97
Ag: 0.0000 0.0000 0.0000  4 Ag 2.95-2.96, 4 Hg 2.97, 4 Mn 2.97
Mn: 0.0000 0.5000 0.5000  2 Hg 2.95, 2 Mn 2.96, 8 Ag 2.97